## KAc2MoO6 (PBE+U)

Data for crystalline KAc2MoO6 at its relaxed geometry.

```
KAc2MoO6
1.0
5.884 0.000 0.000
0.000 6.382 0.000
-5.760 0.000 8.816
K Ac Mo O
2 4 2 12
direct
0.000 0.000 0.000 K
0.000 0.500 0.500 K
0.221 0.048 0.736 Ac
0.221 0.452 0.236 Ac
0.779 0.548 0.764 Ac
0.779 0.952 0.264 Ac
0.500 0.000 0.500 Mo
0.500 0.500 0.000 Mo
0.187 0.155 0.467 O
0.187 0.345 0.967 O
0.239 0.748 0.395 O
0.239 0.752 0.895 O
0.427 0.097 0.295 O
0.427 0.403 0.795 O
0.573 0.597 0.205 O
0.573 0.903 0.705 O
0.761 0.248 0.105 O
0.761 0.252 0.605 O
0.813 0.655 0.033 O
0.813 0.845 0.533 O
```

Properties
Uncorrected energy = -143.6 eV/cell
Space-group type = No. 14
N(E_F) = 0.0000 states/eV/atom
Total moment = 0.10 μB/atom